This record from Alexandria via LeMat-Bulk describes WI after structural relaxation. The functional is PBE.

Unit cell a=3.3637 b=11.0004 c=8.4121 alpha=90.00 beta=90.00 gamma=90.00
With the nearest neighbours (Å) after each atom.
Fractional positions:
W 0.2500 0.0754 0.0428  2 W 2.47
W 0.2500 0.4246 0.0428  2 W 2.47
W 0.2500 0.7500 0.4567  4 I 2.61-2.72
W 0.7500 0.2500 0.5433  4 I 2.61-2.72
W 0.7500 0.5754 0.9572  2 W 2.47
W 0.7500 0.9246 0.9572  2 W 2.47
I 0.2500 0.2500 0.7981  4 W 2.72-2.82
I 0.2500 0.5812 0.6754  3 W 2.61-2.91
I 0.2500 0.9188 0.6754  3 W 2.61-2.91
I 0.7500 0.0812 0.3246  3 W 2.61-2.91
I 0.7500 0.4188 0.3246  3 W 2.61-2.91
I 0.7500 0.7500 0.2019  4 W 2.72-2.82

Calculated total energy = -5.9719 eV/atom
Excess energy over the best structure of this formula in the dataset = 19.27 kcal/mol of atoms

=====

This record from Alexandria via LeMat-Bulk describes WI after structural relaxation. The functional is PBE.

Unit cell a=7.4257 b=7.3934 c=5.9612 alpha=66.56 beta=66.00 gamma=47.44
With the nearest neighbours (Å) after each atom.
Fractional positions:
W 0.0275 0.0275 0.2225  1 W 2.38
W 0.2225 0.2225 0.0275  1 W 2.38
W 0.7775 0.7775 0.9725  1 W 2.38
W 0.9725 0.9725 0.7775  1 W 2.38
I 0.1728 0.5772 0.1728  4 W 2.79-2.83
I 0.4228 0.8272 0.4228  4 W 2.79-2.83
I 0.5772 0.1728 0.5772  4 W 2.79-2.83
I 0.8272 0.4228 0.8272  4 W 2.79-2.83

Calculated total energy = -6.0380 eV/atom
Excess energy over the best structure of this formula in the dataset = 17.75 kcal/mol of atoms

=====

This record from Alexandria via LeMat-Bulk describes WI after structural relaxation. The functional is PBE.

Unit cell a=5.7151 b=5.7151 c=5.7151 alpha=90.00 beta=90.00 gamma=90.00
With the nearest neighbours (Å) after each atom.
Fractional positions:
W 0.0000 0.0000 0.0000  6 I 2.86
W 0.0000 0.5000 0.5000  6 I 2.86
W 0.5000 0.0000 0.5000  6 I 2.86
W 0.5000 0.5000 0.0000  6 I 2.86
I 0.0000 0.0000 0.5000  6 W 2.86
I 0.0000 0.5000 0.0000  6 W 2.86
I 0.5000 0.0000 0.0000  6 W 2.86
I 0.5000 0.5000 0.5000  6 W 2.86

Calculated total energy = -4.9960 eV/atom
Excess energy over the best structure of this formula in the dataset = 41.78 kcal/mol of atoms

=====

This record from Alexandria via LeMat-Bulk describes WI2 after structural relaxation. The functional is PBE.

Unit cell a=10.7076 b=10.7076 c=12.8191 alpha=90.00 beta=90.00 gamma=73.57
With the nearest neighbours (Å) after each atom.
Fractional positions:
W 0.0687 0.9313 0.8690  4 W 2.68, 5 I 2.82-2.94
W 0.1107 0.1107 0.0000  4 W 2.68, 5 I 2.83-2.84
W 0.1310 0.8690 0.0687  4 W 2.68, 5 I 2.82-2.94
W 0.3690 0.6310 0.5687  4 W 2.68, 5 I 2.82-2.94
W 0.3893 0.3893 0.5000  4 W 2.68, 5 I 2.83-2.84
W 0.4313 0.5687 0.3690  4 W 2.68, 5 I 2.82-2.94
W 0.5687 0.4313 0.6310  4 W 2.68, 5 I 2.82-2.94
W 0.6107 0.6107 0.5000  4 W 2.68, 5 I 2.83-2.84
W 0.6310 0.3690 0.4313  4 W 2.68, 5 I 2.82-2.94
W 0.8690 0.1310 0.9313  4 W 2.68, 5 I 2.82-2.94
W 0.8893 0.8893 0.0000  4 W 2.68, 5 I 2.83-2.84
W 0.9313 0.0687 0.1310  4 W 2.68, 5 I 2.82-2.94
I 0.0497 0.1820 0.7894  3 W 2.82-2.83
I 0.0944 0.6736 0.9340  3 W 2.82-2.83
I 0.1581 0.8419 0.6581  2 W 2.94
I 0.1736 0.5944 0.4340  3 W 2.82-2.83
I 0.1820 0.0497 0.2106  3 W 2.82-2.83
I 0.2236 0.2236 0.5000  1 W 2.84
I 0.2764 0.2764 0.0000  1 W 2.84
I 0.3180 0.4503 0.7106  3 W 2.82-2.83
I 0.3264 0.9056 0.9340  3 W 2.82-2.83
I 0.3419 0.6581 0.1581  2 W 2.94
I 0.4056 0.8264 0.4340  3 W 2.82-2.83
I 0.4503 0.3180 0.2894  3 W 2.82-2.83
I 0.5497 0.6820 0.7106  3 W 2.82-2.83
I 0.5944 0.1736 0.5660  3 W 2.82-2.83
I 0.6581 0.3419 0.8419  2 W 2.94
I 0.6736 0.0944 0.0660  3 W 2.82-2.83
I 0.6820 0.5497 0.2894  3 W 2.82-2.83
I 0.7236 0.7236 0.0000  1 W 2.84
I 0.7764 0.7764 0.5000  1 W 2.84
I 0.8180 0.9503 0.7894  3 W 2.82-2.83
I 0.8264 0.4056 0.5660  3 W 2.82-2.83
I 0.8419 0.1581 0.3419  2 W 2.94
I 0.9056 0.3264 0.0660  3 W 2.82-2.83
I 0.9503 0.8180 0.2106  3 W 2.82-2.83

Calculated total energy = -5.5413 eV/atom

=====

Short version: uncorrected formation energy = 2.56 2.43 4.51 -0.57 eV/f.u., in the order given.
Short version: DOS at the Fermi energy = 1.59 1.38 2.73 0.00 states/eV/f.u., in the order given.